Record 1
Entry from Alexandria: Zr3W after structural relaxation (GGA-PBEsol).

POSCAR file:
```
Zr3W
1.0
2.935 0.000 0.000
-0.978 5.549 0.000
-0.978 -2.774 4.805
W Zr
1 3
Cartesian
0.000 0.000 0.000
0.978 -1.387 2.403
-0.978 1.387 2.403
0.978 2.774 0.000
```

## Properties
Calculated total energy = -10.085 eV per atom
Spin magnetization = 0.0 μB per formula unit
E above lowest polymorph = 17.9 meV/atom

Record 2
Entry from Alexandria: RuPt2Rh after structural relaxation (GGA-PBEsol).

POSCAR file:
```
RuPt2Rh
1.0
2.712 0.000 0.000
0.000 3.847 0.000
0.000 0.000 5.414
Ru Rh Pt
1 1 2
Cartesian
1.356 1.924 2.707
1.356 1.924 0.000
0.000 0.000 4.041
0.000 0.000 1.373
```

## Properties
Calculated total energy = -8.048 eV per atom
Spin magnetization = 0.0 μB per formula unit
E above lowest polymorph = 48.5 meV/atom

Asked for energy of formation across the records above, the calculation gives 0.184 0.011 eV per atom in order.